[1]
SrIn2Mo | PBE-GGA | optimized geometry

Output
energy relative to the lowest polymorph listed for this composition = 303 meV per atom
energy of formation = 0.49 eV per atom
calculated volume = 97.44 Å³ per cell
magnetic moment = 0.02 μB per cell

a = 3.167 Å, b = 3.167 Å, c = 9.713 Å
α = 90.00°, β = 90.00°, γ = 90.00°
Atoms (fractional coordinates):
Mo  0.000  0.000  0.474
In  0.500  0.500  0.273
Sr  0.500  0.500  0.731
In  0.000  0.000  0.022



[2]
Ta2InMo | PBE-GGA | optimized geometry

Output
energy of formation = 0.26 eV per atom
calculated volume = 73.78 Å³ per cell
magnetic moment = 0.00 μB per cell

a = 2.865 Å, b = 4.390 Å, c = 5.865 Å
α = 90.00°, β = 90.00°, γ = 90.00°
Atoms (fractional coordinates):
Ta  0.000  0.000  0.996
Mo  0.500  0.500  0.760
In  0.000  0.000  0.502
Ta  0.500  0.500  0.242



[3]
TaInMo2 | PBE-GGA | optimized geometry

Output
energy of formation = 0.19 eV per atom
calculated volume = 70.54 Å³ per cell
magnetic moment = 0.00 μB per cell

a = 5.380 Å, b = 5.380 Å, c = 4.621 Å
α = 64.57°, β = 64.57°, γ = 36.23°
Atoms (fractional coordinates):
Ta  0.750  0.750  0.750
Mo  0.014  0.014  0.986
In  0.250  0.250  0.250
Mo  0.486  0.486  0.514



[4]
Ta4InMo | PBE-GGA | optimized geometry

Output
energy of formation = 0.40 eV per atom
calculated volume = 114.36 Å³ per cell
magnetic moment = 0.00 μB per cell

a = 5.448 Å, b = 5.448 Å, c = 5.448 Å
α = 60.00°, β = 60.00°, γ = 60.00°
Atoms (fractional coordinates):
Ta  0.878  0.374  0.374
Ta  0.374  0.878  0.374
In  0.750  0.750  0.750
Ta  0.374  0.374  0.374
Mo  0.000  0.000  0.000
Ta  0.374  0.374  0.878



[5]
Ta2InMo | PBE-GGA | optimized geometry

Output
energy of formation = 0.15 eV per atom
calculated volume = 72.31 Å³ per cell
magnetic moment = 0.00 μB per cell

a = 3.599 Å, b = 4.474 Å, c = 4.490 Å
α = 90.00°, β = 90.00°, γ = 90.00°
Atoms (fractional coordinates):
Ta  0.500  0.500  0.000
Mo  0.000  0.500  0.500
In  0.500  0.000  0.500
Ta  0.000  0.000  0.000



[6]
TaInMo2 | PBE-GGA | optimized geometry

Output
energy of formation = 0.37 eV per atom
calculated volume = 71.45 Å³ per cell
magnetic moment = 0.00 μB per cell

a = 2.828 Å, b = 2.828 Å, c = 8.933 Å
α = 90.00°, β = 90.00°, γ = 90.00°
Atoms (fractional coordinates):
In  0.500  0.500  0.756
Mo  0.500  0.500  0.244
Ta  0.000  0.000  0.490
Mo  0.000  0.000  0.009



[7]
Ta3InMo | PBE-GGA | optimized geometry

Output
energy relative to the lowest polymorph listed for this composition = 0 meV per atom
energy of formation = 1.25 eV per atom
calculated volume = 114.19 Å³ per cell
magnetic moment = 0.00 μB per cell

a = 4.851 Å, b = 4.851 Å, c = 4.851 Å
α = 90.00°, β = 90.00°, γ = 90.00°
Atoms (fractional coordinates):
Mo  0.000  0.000  0.000
Ta  0.500  0.000  0.000
Ta  0.000  0.500  0.000
In  0.500  0.500  0.500
Ta  0.000  0.000  0.500



[8]
Ta2InMo | PBE-GGA | optimized geometry

Output
energy of formation = 0.74 eV per atom
calculated volume = 161.33 Å³ per cell
magnetic moment = 0.00 μB per cell

a = 7.586 Å, b = 7.586 Å, c = 6.053 Å
α = 51.19°, β = 51.19°, γ = 90.00°
Atoms (fractional coordinates):
Ta  0.375  0.415  0.750
In  0.000  0.000  0.000
Ta  0.165  0.625  0.250
In  0.750  0.250  0.500
Ta  0.585  0.125  0.250
Mo  0.250  0.750  0.500
Ta  0.875  0.835  0.750
Mo  0.500  0.500  0.000



[9]
Ta2InMo | PBE-GGA | optimized geometry

Output
energy of formation = 0.12 eV per atom
calculated volume = 73.89 Å³ per cell
magnetic moment = 0.00 μB per cell

a = 2.920 Å, b = 2.920 Å, c = 9.218 Å
α = 90.00°, β = 90.00°, γ = 109.89°
Atoms (fractional coordinates):
Ta  0.000  0.000  0.991
Ta  0.500  0.500  0.239
In  0.000  0.000  0.507
Mo  0.500  0.500  0.763



[10]
Ta2InMo | PBE-GGA | optimized geometry

Output
energy of formation = 0.26 eV per atom
calculated volume = 73.65 Å³ per cell
magnetic moment = 0.00 μB per cell

a = 5.115 Å, b = 5.115 Å, c = 5.247 Å
α = 82.25°, β = 82.25°, γ = 32.81°
Atoms (fractional coordinates):
Ta  0.749  0.749  0.756
Ta  0.000  0.000  0.001
In  0.501  0.501  0.497
Mo  0.249  0.249  0.246



[11]
Ta2InMo | PBE-GGA | optimized geometry

Output
energy of formation = 0.05 eV per atom
calculated volume = 73.45 Å³ per cell
magnetic moment = 0.00 μB per cell

a = 3.363 Å, b = 3.363 Å, c = 6.494 Å
α = 90.00°, β = 90.00°, γ = 90.00°
Atoms (fractional coordinates):
Ta  0.000  0.000  0.528
In  0.500  0.500  0.250
Ta  0.000  0.000  0.972
Mo  0.500  0.500  0.750



[12]
Ta2InMo | PBE-GGA | optimized geometry

Output
energy of formation = 0.14 eV per atom
calculated volume = 72.41 Å³ per cell
magnetic moment = 0.00 μB per cell

a = 3.672 Å, b = 4.440 Å, c = 4.440 Å
α = 90.00°, β = 90.00°, γ = 90.00°
Atoms (fractional coordinates):
Mo  0.500  0.000  0.500
Ta  0.000  0.000  0.000
Ta  0.000  0.500  0.500
In  0.500  0.500  0.000



[13]
TaInMo3 | PBE-GGA | optimized geometry

Output
energy relative to the lowest polymorph listed for this composition = 0 meV per atom
energy of formation = 1.64 eV per atom
calculated volume = 110.45 Å³ per cell
magnetic moment = 0.00 μB per cell

a = 4.798 Å, b = 4.798 Å, c = 4.798 Å
α = 90.00°, β = 90.00°, γ = 90.00°
Atoms (fractional coordinates):
Mo  0.500  0.000  0.000
Mo  0.000  0.500  0.000
Ta  0.000  0.000  0.000
Mo  0.000  0.000  0.500
In  0.500  0.500  0.500



[14]
TaInMo3 | PBE-GGA | optimized geometry

Output
energy relative to the lowest polymorph listed for this composition = 774 meV per atom
energy of formation = 2.42 eV per atom
calculated volume = 110.43 Å³ per cell
magnetic moment = 0.00 μB per cell

a = 4.798 Å, b = 4.798 Å, c = 4.798 Å
α = 90.00°, β = 90.00°, γ = 90.00°
Atoms (fractional coordinates):
Mo  0.500  0.000  0.000
In  0.000  0.000  0.000
Ta  0.500  0.500  0.500
Mo  0.000  0.500  0.000
Mo  0.000  0.000  0.500



[15]
TaInMo2 | PBE-GGA | optimized geometry

Output
energy of formation = 0.20 eV per atom
calculated volume = 70.72 Å³ per cell
magnetic moment = 0.00 μB per cell

a = 4.574 Å, b = 2.823 Å, c = 5.579 Å
α = 79.04°, β = 90.00°, γ = 90.00°
Atoms (fractional coordinates):
Mo  0.000  0.004  0.015
In  0.500  0.750  0.750
Mo  0.000  0.496  0.485
Ta  0.500  0.250  0.250



[16]
Ta2InMo | PBE-GGA | optimized geometry

Output
energy of formation = 0.07 eV per atom
calculated volume = 74.21 Å³ per cell
magnetic moment = 0.00 μB per cell

a = 2.946 Å, b = 2.946 Å, c = 9.214 Å
α = 90.00°, β = 90.00°, γ = 111.89°
Atoms (fractional coordinates):
In  0.500  0.500  0.250
Ta  0.000  0.000  0.980
Mo  0.500  0.500  0.750
Ta  0.000  0.000  0.520



[17]
TaInMo2 | PBE-GGA | optimized geometry

Output
energy of formation = 0.22 eV per atom
calculated volume = 70.14 Å³ per cell
magnetic moment = 0.00 μB per cell

a = 5.410 Å, b = 5.410 Å, c = 2.828 Å
α = 79.92°, β = 79.92°, γ = 116.10°
Atoms (fractional coordinates):
Ta  0.500  0.000  0.500
Mo  0.500  0.500  0.000
In  0.000  0.500  0.500
Mo  0.000  0.000  0.000



[18]
TaInMo2 | PBE-GGA | optimized geometry

Output
energy of formation = 0.14 eV per atom
calculated volume = 70.92 Å³ per cell
magnetic moment = 0.00 μB per cell

a = 2.884 Å, b = 2.884 Å, c = 9.068 Å
α = 90.00°, β = 90.00°, γ = 109.89°
Atoms (fractional coordinates):
Mo  0.000  0.000  0.490
Ta  0.500  0.500  0.250
In  0.500  0.500  0.750
Mo  0.000  0.000  0.010



[19]
TaInMo2 | PBE-GGA | optimized geometry

Output
energy of formation = 0.15 eV per atom
calculated volume = 71.58 Å³ per cell
magnetic moment = 0.00 μB per cell

a = 3.418 Å, b = 3.418 Å, c = 6.128 Å
α = 90.00°, β = 90.00°, γ = 90.00°
Atoms (fractional coordinates):
Mo  0.000  0.000  0.472
Ta  0.500  0.500  0.250
In  0.500  0.500  0.750
Mo  0.000  0.000  0.028



[20]
Ta2InMo | PBE-GGA | optimized geometry

Output
energy of formation = 0.26 eV per atom
calculated volume = 72.79 Å³ per cell
magnetic moment = 0.00 μB per cell

a = 4.687 Å, b = 4.687 Å, c = 4.687 Å
α = 60.00°, β = 60.00°, γ = 60.00°
Atoms (fractional coordinates):
Ta  0.000  0.000  0.000
Mo  0.750  0.750  0.750
Ta  0.250  0.250  0.250
In  0.500  0.500  0.500



[21]
Ta2InMo | PBE-GGA | optimized geometry

Output
energy of formation = 0.22 eV per atom
calculated volume = 76.07 Å³ per cell
magnetic moment = 0.00 μB per cell

a = 9.161 Å, b = 9.161 Å, c = 9.161 Å
α = 19.66°, β = 19.66°, γ = 19.66°
Atoms (fractional coordinates):
Mo  0.750  0.750  0.750
Ta  0.009  0.009  0.009
In  0.250  0.250  0.250
Ta  0.491  0.491  0.491



[22]
Ta2InMo | PBE-GGA | optimized geometry

Output
energy of formation = 0.38 eV per atom
calculated volume = 74.68 Å³ per cell
magnetic moment = 0.00 μB per cell

a = 10.121 Å, b = 10.121 Å, c = 10.121 Å
α = 16.70°, β = 16.70°, γ = 16.70°
Atoms (fractional coordinates):
Ta  0.251  0.251  0.251
Mo  0.750  0.750  0.750
Ta  0.002  0.002  0.002
In  0.498  0.498  0.498



[23]
TaInMo2 | PBE-GGA | optimized geometry

Output
energy of formation = 0.33 eV per atom
calculated volume = 71.38 Å³ per cell
magnetic moment = 0.00 μB per cell

a = 2.793 Å, b = 2.793 Å, c = 9.147 Å
α = 90.00°, β = 90.00°, γ = 90.00°
Atoms (fractional coordinates):
Mo  0.000  0.000  0.001
Mo  0.000  0.000  0.499
Ta  0.500  0.500  0.250
In  0.500  0.500  0.750



[24]
TaInMo2 | PBE-GGA | optimized geometry

Output
energy of formation = 0.33 eV per atom
calculated volume = 70.36 Å³ per cell
magnetic moment = 0.00 μB per cell

a = 4.634 Å, b = 4.634 Å, c = 4.634 Å
α = 60.00°, β = 60.00°, γ = 60.00°
Atoms (fractional coordinates):
In  0.500  0.500  0.500
Mo  0.250  0.250  0.250
Ta  0.750  0.750  0.750
Mo  0.000  0.000  0.000



[25]
Ta2InMo | PBE-GGA | optimized geometry

Output
energy of formation = 0.11 eV per atom
calculated volume = 73.22 Å³ per cell
magnetic moment = 0.00 μB per cell

a = 5.455 Å, b = 5.455 Å, c = 5.455 Å
α = 143.61°, β = 129.69°, γ = 63.67°
Atoms (fractional coordinates):
Mo  0.236  0.736  0.500
In  0.494  0.494  0.000
Ta  0.760  0.260  0.500
Ta  0.010  0.010  0.000



[26]
Ta2InMo | PBE-GGA | optimized geometry

Output
energy of formation = 0.14 eV per atom
calculated volume = 73.64 Å³ per cell
magnetic moment = 0.00 μB per cell

a = 4.668 Å, b = 2.864 Å, c = 5.614 Å
α = 78.93°, β = 90.00°, γ = 90.00°
Atoms (fractional coordinates):
Ta  0.500  0.256  0.235
Mo  0.500  0.735  0.773
In  0.000  0.546  0.502
Ta  0.000  0.963  0.990



[27]
TaInMo2 | PBE-GGA | optimized geometry

Output
energy of formation = 0.89 eV per atom
calculated volume = 155.35 Å³ per cell
magnetic moment = 0.00 μB per cell

a = 7.441 Å, b = 7.441 Å, c = 5.963 Å
α = 51.40°, β = 51.40°, γ = 90.00°
Atoms (fractional coordinates):
Ta  0.750  0.250  0.500
In  0.500  0.500  0.000
In  0.250  0.750  0.500
Mo  0.096  0.625  0.250
Mo  0.654  0.125  0.250
Ta  0.000  0.000  0.000
Mo  0.875  0.904  0.750
Mo  0.375  0.346  0.750



[28]
Ta2InMo | PBE-GGA | optimized geometry

Output
energy of formation = 0.07 eV per atom
calculated volume = 73.10 Å³ per cell
magnetic moment = 0.00 μB per cell

a = 5.392 Å, b = 5.392 Å, c = 5.392 Å
α = 142.53°, β = 129.05°, γ = 64.93°
Atoms (fractional coordinates):
In  0.750  0.250  0.500
Ta  0.481  0.481  0.000
Ta  0.019  0.019  0.000
Mo  0.250  0.750  0.500



[29]
Ta2InMo | PBE-GGA | optimized geometry

Output
energy of formation = 0.27 eV per atom
calculated volume = 73.92 Å³ per cell
magnetic moment = 0.00 μB per cell

a = 2.837 Å, b = 2.837 Å, c = 9.186 Å
α = 90.00°, β = 90.00°, γ = 90.00°
Atoms (fractional coordinates):
Ta  0.000  0.000  0.994
Mo  0.500  0.500  0.750
Ta  0.000  0.000  0.506
In  0.500  0.500  0.250



[30]
TaInMo4 | PBE-GGA | optimized geometry

Output
energy of formation = 0.15 eV per atom
calculated volume = 104.68 Å³ per cell
magnetic moment = 0.00 μB per cell

a = 5.290 Å, b = 5.290 Å, c = 5.290 Å
α = 60.00°, β = 60.00°, γ = 60.00°
Atoms (fractional coordinates):
Mo  0.375  0.876  0.375
Mo  0.375  0.375  0.375
Ta  0.750  0.750  0.750
In  0.000  0.000  0.000
Mo  0.375  0.375  0.876
Mo  0.876  0.375  0.375